Entry 1:
Entry from the Alexandria database: a relaxed structure of Y3BeCo (PBE-GGA).

a b c (Å): 5.111 5.111 5.111
angles (deg): 90.00 90.00 90.00
Sites, in units of the cell vectors:
Y (0.000, 0.500, 0.000)
Y (0.000, 0.000, 0.500)
Y (0.500, 0.000, 0.000)
Be (0.500, 0.500, 0.500)
Co (0.000, 0.000, 0.000)

Entry 2:
Entry from the Alexandria database: a relaxed structure of Tm2P4Rh5 (PBE-GGA).

a b c (Å): 5.396 5.452 7.559
angles (deg): 79.83 69.09 60.34
Sites, in units of the cell vectors:
Tm (0.867, 0.000, 0.265)
Tm (0.133, 0.000, 0.735)
P (0.474, 0.311, 0.741)
P (0.526, 0.689, 0.259)
P (0.215, 0.311, 0.259)
P (0.785, 0.689, 0.741)
Rh (0.500, 0.000, 0.000)
Rh (0.000, 0.500, 0.000)
Rh (0.500, 0.500, 0.000)
Rh (0.250, 0.500, 0.500)
Rh (0.750, 0.500, 0.500)

Number 1: formation energy 314 meV per atom, total DFT energy (no corrections) -28.65 eV for the cell shown, size of the total moment 0.00 μB/f.u.. Number 2: formation energy -861 meV per atom, total DFT energy (no corrections) -76.81 eV for the cell shown, size of the total moment 0.00 μB/f.u..